Here is an optimized crystal structure of RbV4Cl7 from Alexandria via LeMat-Bulk. Energies are from PBE-GGA.

Calculated values
Raw total energy in eV/cell: -120.42
Total magnetic moment in μB/f.u.: 14.0
Theoretical density in Mg/m³: 2.89
V in Å³ per cell: 618.4
DOS at the Fermi energy in states/eV per cell: 1.8

Lattice parameters (Å, degrees): 6.3965 5.9972 16.1200 90.00 90.00 90.00
Last column: magnetic moment on the atom in μB.
Fractional positions:
V 0.0220 0.7455 0.2503  2.85
V 0.1303 0.2925 0.3606  2.80
V 0.0220 0.7455 0.7497  2.85
V 0.6303 0.7075 0.1394  2.80
V 0.6303 0.7075 0.8606  2.80
V 0.5220 0.2545 0.7503  2.85
V 0.5220 0.2545 0.2497  2.85
V 0.1303 0.2925 0.6394  2.80
Cl 0.9923 0.6504 0.6085  -0.01
Cl 0.4923 0.3496 0.1085  -0.01
Cl 0.0327 0.1383 0.5000  0.00
Cl 0.5327 0.8617 0.0000  0.00
Cl 0.9950 0.6737 0.1047  0.00
Cl 0.8980 0.1406 0.2514  -0.01
Cl 0.3980 0.8594 0.7514  -0.01
Cl 0.9950 0.6737 0.8953  0.00
Cl 0.4950 0.3263 0.6047  0.00
Cl 0.8980 0.1406 0.7486  -0.01
Cl 0.4923 0.3496 0.8915  -0.01
Cl 0.9923 0.6504 0.3915  -0.01
Cl 0.4950 0.3263 0.3953  0.00
Cl 0.3980 0.8594 0.2486  -0.01
Rb 0.0467 0.1719 0.0000  0.00
Rb 0.5467 0.8281 0.5000  0.00

---

Here is an optimized crystal structure of Li2LaPdO from Alexandria via LeMat-Bulk. Energies are from PBE-GGA.

Calculated values
Raw total energy in eV/cell: -25.46
Total magnetic moment in μB/f.u.: 0.0
Theoretical density in Mg/m³: 5.32
V in Å³ per cell: 85.9
DOS at the Fermi energy in states/eV per cell: 2.9

Lattice parameters (Å, degrees): 4.2014 4.2014 4.8663 90.00 90.00 90.00
Fractional positions:
Li 0.5000 0.0000 0.0000
Li 0.0000 0.5000 0.0000
La 0.0000 0.0000 0.5000
O 0.0000 0.0000 0.0000
Pd 0.5000 0.5000 0.5000

---

Here is an optimized crystal structure of Li4AcCdSn2 from Alexandria via LeMat-Bulk. Energies are from PBE-GGA.

Calculated values
Total magnetic moment in μB/f.u.: 0.0
Energy of formation in eV/atom: -0.398
Theoretical density in Mg/m³: 5.52
V in Å³ per cell: 181.8
DOS at the Fermi energy in states/eV per cell: 2.2

Lattice parameters (Å, degrees): 4.7983 4.7983 9.5317 75.42 75.42 60.00
Fractional positions:
Cd 0.5000 0.5000 0.5000
Li 0.1320 0.1320 0.6040
Li 0.8680 0.8680 0.3960
Li 0.5944 0.5944 0.2167
Li 0.4056 0.4056 0.7833
Ac 0.0000 0.0000 0.0000
Sn 0.2528 0.2528 0.2417
Sn 0.7472 0.7472 0.7583

---

Here is an optimized crystal structure of TmHf2Ti from Alexandria via LeMat-Bulk. Energies are from PBE-GGA.

Calculated values
Total magnetic moment in μB/f.u.: 0.0
Energy of formation in eV/atom: 0.148
Theoretical density in Mg/m³: 10.52
V in Å³ per cell: 90.5
Distance to the lowest polymorph of the same formula in meV/atom: 0
DOS at the Fermi energy in states/eV per cell: 6.3

Lattice parameters (Å, degrees): 3.1923 3.1923 10.4215 81.21 81.21 59.99
Fractional positions:
Ti 0.6666 0.6666 0.0002
Hf 0.2567 0.2567 0.2299
Hf 0.0767 0.0767 0.7698
Tm 0.5000 0.5000 0.5001

---

Here is an optimized crystal structure of Ag7S2BrCl2 from Alexandria via LeMat-Bulk. Energies are from PBE-GGA.

Calculated values
Raw total energy in eV/cell: -35.68
Total magnetic moment in μB/f.u.: 0.0
Theoretical density in Mg/m³: 5.57
V in Å³ per cell: 289.4
DOS at the Fermi energy in states/eV per cell: 0.0

Lattice parameters (Å, degrees): 4.6505 5.2568 12.3459 102.29 100.86 90.00
Fractional positions:
Cl 0.7197 0.2375 0.4394
Cl 0.2803 0.7980 0.5606
Ag 0.7168 0.7346 0.4336
Ag 0.0779 0.4778 0.1559
Ag 0.2832 0.3010 0.5664
Ag 0.5973 0.1161 0.1946
Ag 0.5000 0.5746 0.0000
Ag 0.9221 0.3220 0.8441
Ag 0.4027 0.9215 0.8054
Br 0.0000 0.9762 0.0000
S 0.6047 0.6249 0.2093
S 0.3953 0.4155 0.7907

---

Here is an optimized crystal structure of KCuI4 from Alexandria via LeMat-Bulk. Energies are from PBE-GGA.

Calculated values
Raw total energy in eV/cell: -28.66
Total magnetic moment in μB/f.u.: 0.0
Theoretical density in Mg/m³: 3.28
V in Å³ per cell: 618.2
DOS at the Fermi energy in states/eV per cell: 4.6

Lattice parameters (Å, degrees): 6.6816 6.6816 14.6316 103.20 103.20 90.00
Fractional positions:
K 0.0000 0.0000 0.0000
K 0.7500 0.2500 0.5000
Cu 0.5000 0.5000 0.0000
Cu 0.2500 0.7500 0.5000
I 0.0599 0.8154 0.6361
I 0.1794 0.9401 0.3639
I 0.5654 0.8261 0.1361
I 0.1739 0.4294 0.8639
I 0.1846 0.4239 0.3639
I 0.6901 0.4346 0.8639
I 0.5706 0.3099 0.1361
I 0.5761 0.8206 0.6361

---

Here is an optimized crystal structure of Rb2ScV2 from Alexandria via LeMat-Bulk. Energies are from PBE-GGA.

Calculated values
Total magnetic moment in μB/f.u.: 1.3
Energy of formation in eV/atom: 1.402
Theoretical density in Mg/m³: 2.86
V in Å³ per cell: 368.5
Distance to the lowest polymorph of the same formula in meV/atom: 371
DOS at the Fermi energy in states/eV per cell: 12.3

Lattice parameters (Å, degrees): 10.7744 10.7744 3.1746 90.00 90.00 90.00
Last column: magnetic moment on the atom in μB.
Fractional positions:
V 0.5596 0.9404 0.5000  -0.13
V 0.0596 0.5596 0.5000  -0.13
V 0.9404 0.4404 0.5000  -0.13
V 0.4404 0.0596 0.5000  -0.13
Sc 0.5000 0.5000 0.0000  0.83
Sc 0.0000 0.0000 0.0000  0.83
Rb 0.2175 0.2825 0.0000  0.01
Rb 0.2825 0.7825 0.0000  0.01
Rb 0.7175 0.2175 0.0000  0.01
Rb 0.7825 0.7175 0.0000  0.01

---

Here is an optimized crystal structure of PaInTc from Alexandria via LeMat-Bulk. Energies are from PBE-GGA.

Calculated values
Total magnetic moment in μB/f.u.: 0.0
Energy of formation in eV/atom: -0.064
Theoretical density in Mg/m³: 11.28
V in Å³ per cell: 130.6
Distance to the lowest polymorph of the same formula in meV/atom: 208
DOS at the Fermi energy in states/eV per cell: 6.9

Lattice parameters (Å, degrees): 3.0832 3.0832 13.9126 96.36 96.36 90.00
Fractional positions:
In 0.5525 0.5525 0.1051
In 0.4475 0.4475 0.8949
Tc 0.2767 0.2767 0.5535
Tc 0.7233 0.7233 0.4465
Pa 0.8533 0.8533 0.7066
Pa 0.1467 0.1467 0.2934

---

Here is an optimized crystal structure of DyZn2Pd5 from Alexandria via LeMat-Bulk. Energies are from PBE-GGA.

Calculated values
Total magnetic moment in μB/f.u.: 0.0
Energy of formation in eV/atom: -0.562
Theoretical density in Mg/m³: 9.75
V in Å³ per cell: 140.5
DOS at the Fermi energy in states/eV per cell: 2.1

Lattice parameters (Å, degrees): 4.0245 6.9244 6.9244 50.27 73.11 73.11
Fractional positions:
Zn 0.2121 0.2879 0.2879
Zn 0.7879 0.7121 0.7121
Pd 0.3775 0.8608 0.3843
Pd 0.0000 0.5000 0.5000
Pd 0.6225 0.1392 0.6157
Pd 0.3775 0.3843 0.8608
Pd 0.6225 0.6157 0.1392
Dy 0.0000 0.0000 0.0000

---

Here is an optimized crystal structure of ErPaSbAu from Alexandria via LeMat-Bulk. Energies are from PBE-GGA.

Calculated values
Raw total energy in eV/cell: -23.20
Total magnetic moment in μB/f.u.: 2.4
Theoretical density in Mg/m³: 11.90
V in Å³ per cell: 100.0
DOS at the Fermi energy in states/eV per cell: 9.0

Lattice parameters (Å, degrees): 5.2109 5.2109 5.2109 60.00 60.00 60.00
Last column: magnetic moment on the atom in μB.
Fractional positions:
Er 0.5000 0.5000 0.5000  0.48
Pa 0.0000 0.0000 0.0000  1.31
Au 0.2500 0.2500 0.2500  0.05
Sb 0.7500 0.7500 0.7500  0.00

---

Here is an optimized crystal structure of Dy4Bi2Ir from Alexandria via LeMat-Bulk. Energies are from PBE-GGA.

Calculated values
Total magnetic moment in μB/f.u.: 0.0
Energy of formation in eV/atom: -0.743
Theoretical density in Mg/m³: 9.76
V in Å³ per cell: 428.9
DOS at the Fermi energy in states/eV per cell: 10.4

Lattice parameters (Å, degrees): 4.3926 7.9294 12.3139 90.00 90.00 90.00
Fractional positions:
Dy 0.0000 0.1265 0.6974
Dy 0.0000 0.6265 0.8026
Dy 0.0000 0.3735 0.1974
Dy 0.5000 0.7886 0.5575
Dy 0.5000 0.2114 0.4425
Dy 0.5000 0.2886 0.9425
Dy 0.5000 0.7114 0.0575
Dy 0.0000 0.8735 0.3026
Bi 0.5000 0.9187 0.8290
Bi 0.5000 0.4187 0.6710
Bi 0.5000 0.0813 0.1710
Bi 0.5000 0.5813 0.3290
Ir 0.0000 0.5000 0.0000
Ir 0.0000 0.0000 0.5000

---

Here is an optimized crystal structure of Li5Mg3Zn from Alexandria via LeMat-Bulk. Energies are from PBE-GGA.

Calculated values
Total magnetic moment in μB/f.u.: 0.0
Energy of formation in eV/atom: -0.038
Theoretical density in Mg/m³: 1.69
V in Å³ per cell: 339.3
DOS at the Fermi energy in states/eV per cell: 3.0

Lattice parameters (Å, degrees): 5.4929 8.4457 8.4457 120.00 90.00 90.00
Fractional positions:
Li 0.7500 0.2754 0.2754
Li 0.7500 0.0000 0.7246
Li 0.0000 0.3333 0.6667
Li 0.2500 0.2754 0.0000
Li 0.5000 0.6667 0.3333
Li 0.7500 0.7246 0.0000
Li 0.2500 0.7246 0.7246
Li 0.2500 0.0000 0.2754
Li 0.0000 0.6667 0.3333
Li 0.5000 0.3333 0.6667
Zn 0.5000 0.0000 0.0000
Zn 0.0000 0.0000 0.0000
Mg 0.2500 0.3777 0.3777
Mg 0.7500 0.3777 0.0000
Mg 0.2500 0.0000 0.6223
Mg 0.7500 0.0000 0.3777
Mg 0.7500 0.6223 0.6223
Mg 0.2500 0.6223 0.0000